Entry 1:
Computed, not measured: RbMn3Cr after structural relaxation at the PBEsol level of DFT.

Computed properties:
* calculated density: 4.8 g/cm³
* ΔH_f (0 K): 1.343 eV per atom
* M_tot: 8.72 μB/cell
* electronic total energy: -33.84 eV/f.u.
* D(E_F): 5.2 states/eV per cell

CIF file:
```
data_RbMn3Cr
_cell_length_a 4.720
_cell_length_b 4.720
_cell_length_c 4.720
_cell_angle_alpha 90.00
_cell_angle_beta 90.00
_cell_angle_gamma 90.00
_space_group_name_H-M_alt 'P m -3 m'
_space_group_IT_number 221
_space_group_name_Hall '-P 4 2 3'
loop_
_atom_site_label
_atom_site_type_symbol
_atom_site_fract_x
_atom_site_fract_y
_atom_site_fract_z
_atom_site_occupancy
Rb1 Rb 0.000 0.000 0.000 1
Mn1 Mn 0.000 0.500 0.500 1
Cr1 Cr 0.500 0.500 0.500 1
```

Entry 2:
Computed, not measured: BiRh3Pb after structural relaxation at the PBEsol level of DFT.

Computed properties:
* calculated density: 10.0 g/cm³
* ΔH_f (0 K): 1.140 eV per atom
* M_tot: 0.02 μB/cell
* electronic total energy: -27.00 eV/f.u.
* D(E_F): 9.3 states/eV per cell

CIF file:
```
data_BiRh3Pb
_cell_length_a 4.931
_cell_length_b 4.931
_cell_length_c 4.931
_cell_angle_alpha 90.00
_cell_angle_beta 90.00
_cell_angle_gamma 90.00
_space_group_name_H-M_alt 'P m -3 m'
_space_group_IT_number 221
_space_group_name_Hall '-P 4 2 3'
loop_
_atom_site_label
_atom_site_type_symbol
_atom_site_fract_x
_atom_site_fract_y
_atom_site_fract_z
_atom_site_occupancy
Bi1 Bi 0.000 0.000 0.000 1
Rh1 Rh 0.000 0.000 0.500 1
Pb1 Pb 0.500 0.500 0.500 1
```

Entry 3:
Computed, not measured: CaMo2Pt after structural relaxation at the PBEsol level of DFT.

Computed properties:
* distance to the lowest polymorph of the same formula: 0.000 eV per atom
* calculated density: 10.1 g/cm³
* ΔH_f (0 K): 0.287 eV per atom
* M_tot: 0.00 μB/cell
* electronic total energy: -31.49 eV/f.u.
* D(E_F): 5.7 states/eV per cell

CIF file:
```
data_CaMo2Pt
_cell_length_a 3.257
_cell_length_b 4.855
_cell_length_c 8.887
_cell_angle_alpha 90.00
_cell_angle_beta 90.00
_cell_angle_gamma 90.00
_space_group_name_H-M_alt 'I m m 2'
_space_group_IT_number 44
loop_
_space_group_symop_operation_xyz
'x,y,z'
'-x,-y,z'
'-x,y,z'
'x,-y,z'
'x+1/2,y+1/2,z+1/2'
'-x+1/2,-y+1/2,z+1/2'
'-x+1/2,y+1/2,z+1/2'
'x+1/2,-y+1/2,z+1/2'
loop_
_atom_site_label
_atom_site_type_symbol
_atom_site_fract_x
_atom_site_fract_y
_atom_site_fract_z
_atom_site_occupancy
Ca1 Ca 0.000 0.000 0.000 1
Mo1 Mo 0.000 0.000 0.478 1
Mo2 Mo 0.000 0.500 0.778 1
Pt1 Pt 0.000 0.500 0.229 1
```

Entry 4:
Computed, not measured: La2NiAu after structural relaxation at the PBEsol level of DFT.

Computed properties:
* calculated density: 9.5 g/cm³
* ΔH_f (0 K): -0.452 eV per atom
* M_tot: 0.00 μB/cell
* electronic total energy: -22.58 eV/f.u.
* D(E_F): 4.5 states/eV per cell

CIF file:
```
data_La2NiAu
_cell_length_a 3.589
_cell_length_b 3.589
_cell_length_c 7.209
_cell_angle_alpha 90.00
_cell_angle_beta 90.00
_cell_angle_gamma 90.00
_space_group_name_H-M_alt 'P 4/m m m'
_space_group_IT_number 123
_space_group_name_Hall '-P 4 2'
loop_
_atom_site_label
_atom_site_type_symbol
_atom_site_fract_x
_atom_site_fract_y
_atom_site_fract_z
_atom_site_occupancy
La1 La 0.000 0.000 0.229 1
Ni1 Ni 0.500 0.500 0.000 1
Au1 Au 0.500 0.500 0.500 1
```

Entry 5:
Computed, not measured: CaSnF4 after structural relaxation at the PBEsol level of DFT.

Computed properties:
* ΔE_f (raw): -3.076 eV/atom
* calculated density: 4.4 g/cm³
* M_tot: 0.00 μB/cell
* electronic total energy: -32.56 eV/f.u.
* D(E_F): 0.0 states/eV per cell

CIF file:
```
data_CaSnF4
_cell_length_a 3.943
_cell_length_b 3.943
_cell_length_c 5.672
_cell_angle_alpha 90.00
_cell_angle_beta 90.00
_cell_angle_gamma 90.00
_space_group_name_H-M_alt 'P 4/m m m'
_space_group_IT_number 123
_space_group_name_Hall '-P 4 2'
loop_
_atom_site_label
_atom_site_type_symbol
_atom_site_fract_x
_atom_site_fract_y
_atom_site_fract_z
_atom_site_occupancy
Ca1 Ca 0.000 0.000 0.000 1
Sn1 Sn 0.500 0.500 0.500 1
F1 F 0.000 0.500 0.235 1
```

Entry 6:
Computed, not measured: SrTaBe after structural relaxation at the PBEsol level of DFT.

Computed properties:
* calculated density: 7.9 g/cm³
* ΔH_f (0 K): 0.645 eV per atom
* M_tot: 0.00 μB/cell
* electronic total energy: -16.46 eV/f.u.
* D(E_F): 3.6 states/eV per cell

CIF file:
```
data_SrTaBe
_cell_length_a 2.979
_cell_length_b 2.979
_cell_length_c 13.197
_cell_angle_alpha 90.00
_cell_angle_beta 90.00
_cell_angle_gamma 90.00
_space_group_name_H-M_alt 'I 4 m m'
_space_group_IT_number 107
_space_group_name_Hall 'I 4 -2'
loop_
_atom_site_label
_atom_site_type_symbol
_atom_site_fract_x
_atom_site_fract_y
_atom_site_fract_z
_atom_site_occupancy
Sr1 Sr 0.000 0.000 0.000 1
Ta1 Ta 0.000 0.000 0.286 1
Be1 Be 0.000 0.000 0.678 1
```

Entry 7:
Computed, not measured: BeAg2Cl after structural relaxation at the PBEsol level of DFT.

Computed properties:
* ΔE_f (raw): 0.339 eV/atom
* distance to the lowest polymorph of the same formula: 0.254 eV per atom
* calculated density: 5.7 g/cm³
* M_tot: 0.00 μB/cell
* electronic total energy: -11.27 eV/f.u.
* D(E_F): 1.3 states/eV per cell

CIF file:
```
data_BeAg2Cl
_cell_length_a 4.414
_cell_length_b 4.414
_cell_length_c 15.598
_cell_angle_alpha 90.00
_cell_angle_beta 90.00
_cell_angle_gamma 90.00
_space_group_name_H-M_alt 'I -4 2 d'
_space_group_IT_number 122
_space_group_name_Hall 'I -4 2bw'
loop_
_atom_site_label
_atom_site_type_symbol
_atom_site_fract_x
_atom_site_fract_y
_atom_site_fract_z
_atom_site_occupancy
Be1 Be 0.000 0.000 0.000 1
Ag1 Ag 0.184 0.250 0.125 1
Cl1 Cl 0.000 0.000 0.500 1
```

Entry 8:
Computed, not measured: AgMo2W after structural relaxation at the PBEsol level of DFT.

Computed properties:
* distance to the lowest polymorph of the same formula: 0.072 eV per atom
* calculated density: 12.8 g/cm³
* ΔH_f (0 K): 0.465 eV per atom
* M_tot: 0.00 μB/cell
* electronic total energy: -38.79 eV/f.u.
* D(E_F): 6.1 states/eV per cell

CIF file:
```
data_AgMo2W
_cell_length_a 3.304
_cell_length_b 4.390
_cell_length_c 8.658
_cell_angle_alpha 90.00
_cell_angle_beta 90.00
_cell_angle_gamma 90.00
_space_group_name_H-M_alt 'I m m 2'
_space_group_IT_number 44
loop_
_space_group_symop_operation_xyz
'x,y,z'
'-x,-y,z'
'-x,y,z'
'x,-y,z'
'x+1/2,y+1/2,z+1/2'
'-x+1/2,-y+1/2,z+1/2'
'-x+1/2,y+1/2,z+1/2'
'x+1/2,-y+1/2,z+1/2'
loop_
_atom_site_label
_atom_site_type_symbol
_atom_site_fract_x
_atom_site_fract_y
_atom_site_fract_z
_atom_site_occupancy
Ag1 Ag 0.000 0.000 0.000 1
Mo1 Mo 0.000 0.000 0.501 1
Mo2 Mo 0.000 0.500 0.767 1
W1 W 0.000 0.500 0.234 1
```

Entry 9:
Computed, not measured: TaTe3S after structural relaxation at the PBEsol level of DFT.

Computed properties:
* ΔE_f (raw): 1.009 eV/atom
* calculated density: 7.7 g/cm³
* M_tot: 1.73 μB/cell
* electronic total energy: -22.47 eV/f.u.
* D(E_F): 3.4 states/eV per cell

CIF file:
```
data_TaTe3S
_cell_length_a 5.038
_cell_length_b 5.038
_cell_length_c 5.038
_cell_angle_alpha 90.00
_cell_angle_beta 90.00
_cell_angle_gamma 90.00
_space_group_name_H-M_alt 'P m -3 m'
_space_group_IT_number 221
_space_group_name_Hall '-P 4 2 3'
loop_
_atom_site_label
_atom_site_type_symbol
_atom_site_fract_x
_atom_site_fract_y
_atom_site_fract_z
_atom_site_occupancy
Ta1 Ta 0.000 0.000 0.000 1
Te1 Te 0.000 0.500 0.500 1
S1 S 0.500 0.500 0.500 1
```

Entry 10:
Computed, not measured: NaAsP2Cl after structural relaxation at the PBEsol level of DFT.

Computed properties:
* ΔE_f (raw): 1.160 eV/atom
* calculated density: 2.9 g/cm³
* M_tot: 0.00 μB/cell
* electronic total energy: -14.30 eV/f.u.
* D(E_F): 5.9 states/eV per cell

CIF file:
```
data_NaAsP2Cl
_cell_length_a 4.948
_cell_length_b 4.948
_cell_length_c 4.518
_cell_angle_alpha 90.00
_cell_angle_beta 90.00
_cell_angle_gamma 90.00
_space_group_name_H-M_alt 'P 4/m m m'
_space_group_IT_number 123
_space_group_name_Hall '-P 4 2'
loop_
_atom_site_label
_atom_site_type_symbol
_atom_site_fract_x
_atom_site_fract_y
_atom_site_fract_z
_atom_site_occupancy
Na1 Na 0.000 0.000 0.000 1
As1 As 0.500 0.500 0.500 1
P1 P 0.000 0.500 0.000 1
Cl1 Cl 0.000 0.000 0.500 1
```

Entry 11:
Computed, not measured: As2WCl after structural relaxation at the PBEsol level of DFT.

Computed properties:
* ΔE_f (raw): 0.013 eV/atom
* distance to the lowest polymorph of the same formula: 0.000 eV per atom
* calculated density: 6.9 g/cm³
* M_tot: 0.00 μB/cell
* electronic total energy: -25.98 eV/f.u.
* D(E_F): 4.1 states/eV per cell

CIF file:
```
data_As2WCl
_cell_length_a 8.979
_cell_length_b 3.276
_cell_length_c 6.258
_cell_angle_alpha 90.00
_cell_angle_beta 106.24
_cell_angle_gamma 90.00
_space_group_name_H-M_alt 'C 1 m 1'
_space_group_IT_number 8
loop_
_space_group_symop_operation_xyz
'x,y,z'
'x,-y,z'
'x+1/2,y+1/2,z'
'x+1/2,-y+1/2,z'
loop_
_atom_site_label
_atom_site_type_symbol
_atom_site_fract_x
_atom_site_fract_y
_atom_site_fract_z
_atom_site_occupancy
As1 As 0.000 0.000 0.000 1
As2 As 0.147 0.000 0.709 1
W1 W 0.433 0.000 0.677 1
Cl1 Cl 0.302 0.500 0.381 1
```

Entry 12:
Computed, not measured: Ba2CuMo after structural relaxation at the PBEsol level of DFT.

Computed properties:
* calculated density: 6.4 g/cm³
* ΔH_f (0 K): 0.707 eV per atom
* M_tot: 1.04 μB/cell
* electronic total energy: -17.57 eV/f.u.
* D(E_F): 5.7 states/eV per cell

CIF file:
```
data_Ba2CuMo
_cell_length_a 3.501
_cell_length_b 3.501
_cell_length_c 9.174
_cell_angle_alpha 90.00
_cell_angle_beta 90.00
_cell_angle_gamma 90.00
_space_group_name_H-M_alt 'P 4 m m'
_space_group_IT_number 99
loop_
_space_group_symop_operation_xyz
'x,y,z'
'-y,x,z'
'-x,-y,z'
'y,-x,z'
'-x,y,z'
'y,x,z'
'x,-y,z'
'-y,-x,z'
loop_
_atom_site_label
_atom_site_type_symbol
_atom_site_fract_x
_atom_site_fract_y
_atom_site_fract_z
_atom_site_occupancy
Ba1 Ba 0.000 0.000 0.000 1
Ba2 Ba 0.500 0.500 0.414 1
Cu1 Cu 0.000 0.000 0.655 1
Mo1 Mo 0.500 0.500 0.738 1
```